No. 1
The following is a GGA-PBE calculation of a relaxed structure of CsYZn2Cl8, from the Alexandria database.

final energy	-3.724	eV/atom
space group	R-3 (148)
formation energy without anion corrections	-1.67	eV per atom

POSCAR file:
```
CsYZn2Cl8
1.0
-0.1319 -5.5467 3.4200
2.8711 -5.3536 -2.3614
9.7449 -0.9599 5.0296
Cs Y Zn Cl
1 1 2 8
Direct
0.5000 0.5000 0.5000
0.0000 0.0000 0.0000
0.2567 0.2567 0.2300
0.7433 0.7433 0.7700
0.1854 0.1854 0.4438
0.6187 0.2805 0.1516
0.8146 0.8146 0.5562
0.9492 0.6187 0.1516
0.0508 0.3813 0.8484
0.2805 0.9492 0.1516
0.7195 0.0508 0.8484
0.3813 0.7195 0.8484
```

No. 2
The following is a GGA-PBE calculation of a relaxed structure of Pm7PrDy2, from the Alexandria database.

final energy	-4.339	eV/atom
space group	Cmmm (65)
energy relative to the elements	37.1	kJ/mol of atoms

POSCAR file:
```
Pm7PrDy2
1.0
3.5129 0.0000 0.0000
0.0000 10.0637 -2.7831
0.0000 -0.6964 10.4182
Pm Pr Dy
7 1 2
Direct
0.0000 0.6757 0.3243
0.0000 0.3243 0.6757
0.5000 0.1248 0.3884
0.5000 0.8752 0.6116
0.5000 0.3884 0.1248
0.5000 0.6116 0.8752
0.5000 0.5000 0.5000
0.0000 0.0000 0.0000
0.5000 0.8300 0.1700
0.5000 0.1700 0.8300
```

No. 3
The following is a GGA-PBE calculation of a relaxed structure of Hf5Nb, from the Alexandria database.

final energy	-9.876	eV/atom
space group	Cmmm (65)
energy relative to the elements	9.4	kJ/mol of atoms

POSCAR file:
```
Hf5Nb
1.0
-0.5605 2.9026 -1.7812
-4.4904 0.3771 2.0275
5.1703 3.8866 4.7065
Nb Hf
1 5
Direct
0.0000 0.0000 0.0000
0.0000 0.6791 0.3582
0.0000 0.3209 0.6418
0.5000 0.5000 0.0000
0.5000 0.1455 0.2909
0.5000 0.8545 0.7091
```

No. 4
The following is a GGA-PBE calculation of a relaxed structure of Pm2Ga6Ru, from the Alexandria database.

final energy	-4.317	eV/atom
space group	P-62m (189)
energy relative to the elements	-20.5	kJ/mol of atoms

POSCAR file:
```
Pm2Ga6Ru
1.0
-1.9946 1.2091 -2.3897
-5.5685 -5.6551 1.7867
-0.1602 7.2028 3.7782
Pm Ga Ru
2 6 1
Direct
0.0000 0.3333 0.6667
0.0000 0.6667 0.3333
0.0000 0.7554 0.0000
0.0000 0.0000 0.7554
0.0000 0.2446 0.2446
0.5000 0.6779 0.6779
0.5000 0.0000 0.3221
0.5000 0.3221 0.0000
0.5000 0.0000 0.0000
```

No. 5
The following is a GGA-PBE calculation of a relaxed structure of MgZrNbMo, from the Alexandria database.

final energy	-7.641	eV/atom
space group	F-43m (216)
energy relative to the elements	11.5	kJ/mol of atoms

POSCAR file:
```
MgZrNbMo
1.0
-3.6191 2.5864 -1.6258
-1.9101 -0.9888 -4.2195
-4.3356 -1.8892 -0.2525
Mg Mo Nb Zr
1 1 1 1
Direct
0.2500 0.2500 0.2500
0.7500 0.7500 0.7500
0.0000 0.0000 0.0000
0.5000 0.5000 0.5000
```

No. 6
The following is a GGA-PBE calculation of a relaxed structure of MnV2CCl, from the Alexandria database.

final energy	-5.831	eV/atom
space group	P4/mmm (123)
formation energy without anion corrections	1.86	eV per atom

POSCAR file:
```
MnV2CCl
1.0
4.3778 0.0000 0.0000
0.0000 4.0141 0.0000
0.0000 0.0000 4.3778
Cl C Mn V
1 1 1 2
Direct
0.0000 0.5000 0.0000
0.5000 0.5000 0.5000
0.0000 0.0000 0.0000
0.0000 0.0000 0.5000
0.5000 0.0000 0.0000
```

No. 7
The following is a GGA-PBE calculation of a relaxed structure of SmP3Pt6, from the Alexandria database.

final energy	-6.354	eV/atom
space group	R3 (146)
energy relative to the elements	-61.2	kJ/mol of atoms

POSCAR file:
```
SmP3Pt6
1.0
5.5919 0.0002 -2.9965
-3.5991 5.2245 -0.0001
-0.2161 -0.1487 6.3126
Sm P Pt
1 3 6
Direct
0.8505 0.9253 0.7758
0.7365 0.3683 0.1048
0.2687 0.6344 0.9031
0.2350 0.1175 0.3525
0.2881 0.3397 0.7157
0.2161 0.7285 0.2389
0.7513 0.0228 0.2389
0.3760 0.9484 0.7157
0.7674 0.4276 0.7157
0.5103 0.4876 0.2389
```

No. 8
The following is a GGA-PBE calculation of a relaxed structure of CaSm12Dy3, from the Alexandria database.

final energy	-4.494	eV/atom
space group	P4/mmm (123)
energy relative to the elements	3.2	kJ/mol of atoms

POSCAR file:
```
CaSm12Dy3
1.0
5.1260 0.0000 0.0000
0.0000 5.1260 0.0000
0.0000 0.0000 20.4902
Ca Sm Dy
1 12 3
Direct
0.0000 0.0000 0.0000
0.5000 0.5000 0.0000
0.5000 0.5000 0.2511
0.5000 0.5000 0.5000
0.5000 0.5000 0.7489
0.5000 0.0000 0.1299
0.5000 0.0000 0.3764
0.5000 0.0000 0.6236
0.5000 0.0000 0.8701
0.0000 0.5000 0.1299
0.0000 0.5000 0.3764
0.0000 0.5000 0.6236
0.0000 0.5000 0.8701
0.0000 0.0000 0.2515
0.0000 0.0000 0.5000
0.0000 0.0000 0.7485
```

Number 1: spin magnetization 0.0 μB per formula unit. Number 2: spin magnetization 0.0 μB per formula unit. Number 3: spin magnetization 0.0 μB per formula unit. Number 4: spin magnetization 0.0 μB per formula unit. Number 5: spin magnetization 0.0 μB per formula unit. Number 6: spin magnetization 0.0 μB per formula unit. Number 7: spin magnetization 0.0 μB per formula unit. Number 8: spin magnetization 0.0 μB per formula unit.